No. 1
The following is a DFT calculation (meta-GGA SCAN) of Sr3ScNb at its PBEsol-relaxed geometry.

a b c (Å): 5.7555 5.7555 5.7555
angles (deg): 90.00 90.00 90.00
With the nearest neighbours (Å) after each atom.
Fractional coordinates of all 5 atoms:
Sr 0.0000 0.0000 0.5000  2 Nb 2.88
Sr 0.0000 0.5000 0.0000  2 Nb 2.88
Sr 0.5000 0.0000 0.0000  2 Nb 2.88
Sc 0.5000 0.5000 0.5000  12 Sr 4.07
Nb 0.0000 0.0000 0.0000  6 Sr 2.88

Values from the calculation:
symmetry: Pm-3m (221)
E_tot: -21.73 eV/atom
distance to the lowest polymorph of the same formula: 0.000 eV/atom
formation energy from the elements: 1.110 eV/atom

No. 2
The following is a DFT calculation (meta-GGA SCAN) of CdW2Cl at its PBEsol-relaxed geometry.

a b c (Å): 2.7409 4.7698 5.3576
angles (deg): 90.00 90.00 90.00
With the nearest neighbours (Å) after each atom.
Fractional coordinates of all 4 atoms:
Cd 0.0000 0.0000 0.0000  2 Cl 2.68, 2 Cd 2.74
W 0.5000 0.5000 0.2377  4 W 2.55-2.81
W 0.5000 0.5000 0.7623  4 W 2.55-2.81
Cl 0.0000 0.0000 0.5000  2 Cd 2.68, 2 Cl 2.74

Values from the calculation:
symmetry: Pmmm (47)
E_tot: -43.12 eV/atom
distance to the lowest polymorph of the same formula: 0.508 eV/atom